[1]
The following is a PBE-GGA calculation of a relaxed Zr5Ni2Sb crystal, from the Alexandria database.

Geometry as POSCAR:
```
Zr5Ni2Sb
1.0
-4.837 -5.122 0.016
4.928 -4.660 -1.904
1.231 3.705 7.153
Zr Ni Sb
10 4 2
direct
0.516 0.703 0.719 Zr
0.797 0.984 0.281 Zr
0.000 0.000 0.000 Zr
0.500 0.500 0.000 Zr
0.203 0.016 0.719 Zr
0.703 0.203 0.719 Zr
0.016 0.516 0.719 Zr
0.297 0.797 0.281 Zr
0.984 0.484 0.281 Zr
0.484 0.297 0.281 Zr
0.126 0.374 0.000 Ni
0.626 0.126 0.000 Ni
0.374 0.874 0.000 Ni
0.874 0.626 0.000 Ni
0.750 0.750 0.500 Sb
0.250 0.250 0.500 Sb
```

Calculated values
Its total energy is -123.621 eV per cell. The value obtained for the formation energy (no corrections) is -3.4 eV/f.u. The space group is I4/mcm. The value obtained for the total magnetization is 0.00 μB/f.u.

***

[2]
The following is a PBE-GGA calculation of a relaxed ZrNi5Sb crystal, from the Alexandria database.

Geometry as POSCAR:
```
ZrNi5Sb
1.0
4.838 0.000 0.000
0.000 7.897 0.000
0.000 0.000 10.063
Zr Ni Sb
4 20 4
direct
0.250 0.261 0.940 Zr
0.750 0.239 0.440 Zr
0.250 0.761 0.560 Zr
0.750 0.739 0.060 Zr
0.250 0.589 0.019 Ni
0.750 0.911 0.519 Ni
0.250 0.089 0.481 Ni
0.750 0.411 0.981 Ni
0.750 0.316 0.752 Ni
0.250 0.184 0.252 Ni
0.750 0.816 0.748 Ni
0.250 0.684 0.248 Ni
0.250 0.942 0.091 Ni
0.750 0.558 0.591 Ni
0.250 0.442 0.409 Ni
0.750 0.058 0.909 Ni
0.999 0.431 0.191 Ni
0.001 0.069 0.691 Ni
0.501 0.931 0.309 Ni
0.499 0.569 0.809 Ni
0.001 0.569 0.809 Ni
0.999 0.931 0.309 Ni
0.499 0.069 0.691 Ni
0.501 0.431 0.191 Ni
0.250 0.859 0.856 Sb
0.750 0.641 0.356 Sb
0.250 0.359 0.644 Sb
0.750 0.141 0.144 Sb
```

Calculated values
Its total energy is -174.911 eV per cell. The value obtained for the formation energy (no corrections) is -2.2 eV/f.u. The space group is Pnma. The value obtained for the total magnetization is 0.00 μB/f.u.

***

[3]
The following is a PBE-GGA calculation of a relaxed ZrNiSb crystal, from the Alexandria database.

Geometry as POSCAR:
```
ZrNiSb
1.0
-0.234 -3.645 1.854
-2.414 -2.531 -5.280
8.138 -1.941 -2.790
Ni Sb Zr
4 4 4
direct
0.750 0.989 0.386 Ni
0.250 0.489 0.114 Ni
0.750 0.511 0.886 Ni
0.250 0.011 0.614 Ni
0.750 0.732 0.147 Sb
0.250 0.268 0.853 Sb
0.750 0.768 0.647 Sb
0.250 0.232 0.353 Sb
0.750 0.302 0.601 Zr
0.750 0.198 0.101 Zr
0.250 0.698 0.399 Zr
0.250 0.802 0.899 Zr
```

Calculated values
Its total energy is -80.606 eV per cell. The value obtained for the formation energy (no corrections) is -1.7 eV/f.u. The space group is Pnma. The value obtained for the total magnetization is 0.00 μB/f.u.

***

[4]
The following is a PBE-GGA calculation of a relaxed ZrNiSb crystal, from the Alexandria database.

Geometry as POSCAR:
```
ZrNiSb
1.0
4.182 0.000 0.000
-2.091 3.622 0.000
0.000 0.000 3.751
Sb Zr Ni
1 1 1
direct
0.667 0.333 0.212 Sb
0.333 0.667 0.702 Zr
0.000 0.000 0.086 Ni
```

Calculated values
Its total energy is -20.112 eV per cell. The value obtained for the formation energy (no corrections) is -1.7 eV/f.u. The space group is P3m1. The value obtained for the total magnetization is 0.00 μB/f.u.

***

[5]
The following is a PBE-GGA calculation of a relaxed ZrNi2Sb crystal, from the Alexandria database.

Geometry as POSCAR:
```
ZrNi2Sb
1.0
4.022 0.000 0.000
0.000 3.151 -0.417
0.000 0.711 5.402
Ni Sb Zr
2 1 1
direct
0.000 0.250 0.967 Ni
0.000 0.250 0.533 Ni
0.500 0.250 0.250 Sb
0.500 0.750 0.750 Zr
```

Calculated values
Its total energy is -25.481 eV per cell. The value obtained for the formation energy (no corrections) is -1.2 eV/f.u. The space group is Pmmm. The value obtained for the total magnetization is 0.00 μB/f.u.

***

[6]
The following is a PBE-GGA calculation of a relaxed ZrNi2Sb crystal, from the Alexandria database.

Geometry as POSCAR:
```
ZrNi2Sb
1.0
4.532 0.000 0.000
2.266 3.925 0.000
2.266 1.308 3.701
Ni Sb Zr
2 1 1
direct
0.000 0.000 0.000 Ni
0.250 0.250 0.250 Ni
0.500 0.500 0.500 Sb
0.750 0.750 0.750 Zr
```

Calculated values
Its total energy is -24.857 eV per cell. The value obtained for the formation energy (no corrections) is -0.6 eV/f.u. The space group is F-43m. The value obtained for the total magnetization is 0.00 μB/f.u.

***

[7]
The following is a PBE-GGA calculation of a relaxed ZrNiSb2 crystal, from the Alexandria database.

Geometry as POSCAR:
```
ZrNiSb2
1.0
-1.896 2.535 1.447
-2.278 -1.749 -1.967
-1.463 -4.185 5.415
Ni Sb Zr
1 2 1
direct
0.500 0.500 0.750 Ni
0.000 0.000 0.972 Sb
0.000 0.000 0.528 Sb
0.500 0.500 0.250 Zr
```

Calculated values
Its total energy is -23.143 eV per cell. The value obtained for the formation energy (no corrections) is -0.6 eV/f.u. The space group is Cmmm. The value obtained for the total magnetization is 0.00 μB/f.u.

***

[8]
The following is a PBE-GGA calculation of a relaxed ZrNiSb2 crystal, from the Alexandria database.

Geometry as POSCAR:
```
ZrNiSb2
1.0
-5.422 1.581 -0.288
-3.900 -3.474 2.169
4.794 2.641 1.423
Ni Sb Zr
1 2 1
direct
0.782 0.282 0.500 Ni
0.970 0.970 0.000 Sb
0.243 0.743 0.500 Sb
0.505 0.505 0.000 Zr
```

Calculated values
Its total energy is -23.493 eV per cell. The value obtained for the formation energy (no corrections) is -0.9 eV/f.u. The space group is Imm2. The value obtained for the total magnetization is 0.00 μB/f.u.

***

[9]
The following is a PBE-GGA calculation of a relaxed ZrNiSb2 crystal, from the Alexandria database.

Geometry as POSCAR:
```
ZrNiSb2
1.0
3.642 0.000 0.000
0.000 3.642 0.000
0.000 0.000 6.078
Ni Sb Zr
1 2 1
direct
0.500 0.500 0.750 Ni
0.000 0.000 0.986 Sb
0.000 0.000 0.514 Sb
0.500 0.500 0.250 Zr
```

Calculated values
Its total energy is -23.122 eV per cell. The value obtained for the formation energy (no corrections) is -0.5 eV/f.u. The space group is P4/mmm. The value obtained for the total magnetization is 0.21 μB/f.u.

***

[10]
The following is a PBE-GGA calculation of a relaxed ZrNi6Sb crystal, from the Alexandria database.

Geometry as POSCAR:
```
ZrNi6Sb
1.0
-1.774 4.449 4.380
-4.594 -4.564 -0.429
4.816 -5.561 7.600
Ni Sb Zr
24 4 4
direct
0.251 0.749 0.499 Ni
0.876 0.626 0.625 Ni
0.124 0.374 0.625 Ni
0.749 0.251 0.499 Ni
0.374 0.124 0.625 Ni
0.626 0.876 0.625 Ni
0.500 0.500 0.250 Ni
0.124 0.372 0.374 Ni
0.372 0.124 0.374 Ni
0.251 0.749 0.001 Ni
0.876 0.628 0.126 Ni
0.124 0.372 0.126 Ni
0.749 0.251 0.001 Ni
0.372 0.124 0.126 Ni
0.628 0.876 0.126 Ni
0.500 0.500 0.750 Ni
0.124 0.374 0.875 Ni
0.374 0.124 0.875 Ni
0.000 0.000 0.250 Ni
0.628 0.876 0.374 Ni
0.876 0.628 0.374 Ni
0.000 0.000 0.750 Ni
0.626 0.876 0.875 Ni
0.876 0.626 0.875 Ni
0.255 0.745 0.250 Sb
0.745 0.255 0.250 Sb
0.000 0.000 0.501 Sb
0.000 0.000 0.999 Sb
0.254 0.746 0.750 Zr
0.746 0.254 0.750 Zr
0.500 0.500 0.501 Zr
0.500 0.500 0.999 Zr
```

Calculated values
Its total energy is -198.412 eV per cell. The value obtained for the formation energy (no corrections) is -2.2 eV/f.u. The space group is Cmmm. The value obtained for the total magnetization is 0.00 μB/f.u.

***

[11]
The following is a PBE-GGA calculation of a relaxed Zr3NiSb2 crystal, from the Alexandria database.

Geometry as POSCAR:
```
Zr3NiSb2
1.0
3.995 0.000 0.000
0.000 10.985 0.000
0.000 0.000 11.513
Zr Ni Sb
12 4 8
direct
0.250 0.386 0.054 Zr
0.750 0.614 0.946 Zr
0.750 0.886 0.446 Zr
0.250 0.114 0.554 Zr
0.250 0.732 0.238 Zr
0.750 0.268 0.762 Zr
0.750 0.232 0.262 Zr
0.250 0.768 0.738 Zr
0.250 0.448 0.378 Zr
0.750 0.552 0.622 Zr
0.750 0.948 0.122 Zr
0.250 0.052 0.878 Zr
0.250 0.130 0.120 Ni
0.750 0.870 0.880 Ni
0.750 0.630 0.380 Ni
0.250 0.370 0.620 Ni
0.250 0.696 0.494 Sb
0.750 0.304 0.506 Sb
0.750 0.196 0.006 Sb
0.250 0.804 0.994 Sb
0.250 0.015 0.309 Sb
0.750 0.985 0.691 Sb
0.750 0.515 0.191 Sb
0.250 0.485 0.809 Sb
```

Calculated values
Its total energy is -174.027 eV per cell. The value obtained for the formation energy (no corrections) is -3.8 eV/f.u. The space group is Pnma. The value obtained for the total magnetization is 0.00 μB/f.u.

***

[12]
The following is a PBE-GGA calculation of a relaxed ZrNi2Sb crystal, from the Alexandria database.

Geometry as POSCAR:
```
ZrNi2Sb
1.0
-1.590 3.757 0.319
-1.871 1.133 3.458
2.957 3.234 2.968
Ni Sb Zr
2 1 1
direct
0.030 0.030 0.910 Ni
0.740 0.740 0.781 Ni
0.468 0.468 0.595 Sb
0.262 0.262 0.214 Zr
```

Calculated values
Its total energy is -25.358 eV per cell. The value obtained for the formation energy (no corrections) is -1.1 eV/f.u. The space group is Cm. The value obtained for the total magnetization is 0.00 μB/f.u.